[1]
# MnSi2As | Alexandria via LeMat-Bulk | meta-GGA SCAN | single point on PBEsol structure
# - uncorrected formation energy (eV/f.u.) = 0.7
# - calculated density (g cm⁻³) = 5.6
# - electronic total energy (eV/cell) = -57.80
# - crystal system = tetragonal
data_MnSi2As
_chemical_formula_sum 'Mn1 Si2 As1'
_cell_length_a 2.845
_cell_length_b 2.845
_cell_length_c 6.862
_cell_angle_alpha 90.00
_cell_angle_beta 90.00
_cell_angle_gamma 90.00
_symmetry_space_group_name_H-M 'P 4 m m'
_symmetry_Int_Tables_number 99
loop_
_symmetry_equiv_pos_as_xyz
'x,y,z'
'-y,x,z'
'-x,-y,z'
'y,-x,z'
'-x,y,z'
'y,x,z'
'x,-y,z'
'-y,-x,z'
loop_
_atom_site_label
_atom_site_fract_x
_atom_site_fract_y
_atom_site_fract_z
Mn1 0.000 0.000 0.000
Si1 0.000 0.000 0.420
Si2 0.500 0.500 0.182
As1 0.500 0.500 0.782


[2]
# Be2NbTeRh | Alexandria via LeMat-Bulk | meta-GGA SCAN | single point on PBEsol structure
# - uncorrected formation energy (eV/f.u.) = 7.8
# - calculated density (g cm⁻³) = 6.0
# - electronic total energy (eV/cell) = -105.09
# - crystal system = tetragonal
data_Be2NbTeRh
_chemical_formula_sum 'Be2 Nb1 Te1 Rh1'
_cell_length_a 4.308
_cell_length_b 4.308
_cell_length_c 5.091
_cell_angle_alpha 90.00
_cell_angle_beta 90.00
_cell_angle_gamma 90.00
_symmetry_space_group_name_H-M 'P 4/m m m'
_symmetry_Int_Tables_number 123
_symmetry_space_group_name_Hall '-P 4 2'
loop_
_atom_site_label
_atom_site_fract_x
_atom_site_fract_y
_atom_site_fract_z
Be1 0.000 0.500 0.000
Nb1 0.000 0.000 0.500
Te1 0.000 0.000 0.000
Rh1 0.500 0.500 0.500